Computed, not measured: an optimized crystal structure of HgMoPb at the PBE-GGA level of DFT.

Calculated values
Total energy = -54.3 eV/cell
Calculated volume = 286.6 Å³ per cell
ρ = 11.68 g/cm³
Crystal system = monoclinic

Unit cell a=8.745 b=3.289 c=10.590 alpha=90.00 beta=109.78 gamma=90.00
Sites, in units of the cell vectors:
Hg 0.616 0.000 0.334
Hg 0.616 0.500 0.834
Hg 0.005 0.000 0.443
Hg 0.005 0.500 0.943
Mo 0.315 0.000 0.699
Mo 0.315 0.500 0.199
Mo 0.112 0.000 0.203
Mo 0.112 0.500 0.703
Pb 0.787 0.000 0.646
Pb 0.787 0.500 0.146
Pb 0.343 0.000 0.971
Pb 0.343 0.500 0.471